TeMoP2Cl after structural relaxation, computed with PBE-GGA.

## Properties
Spin magnetization ... 0.00 μB/f.u.
Energy above the lowest structure with this stoichiometry ... 0.00 eV/f.u.
Symmetry ... No. 123
Formation energy (no corrections) ... 349 meV/atom

Lattice parameters (Å, degrees): 4.840 4.840 4.624 90.00 90.00 90.00
Sites, in units of the cell vectors:
Te 0.000 0.000 0.000
Mo 0.500 0.500 0.500
P 0.000 0.500 0.500
P 0.500 0.000 0.500
Cl 0.500 0.500 0.000